# 1
20
Lattice="-1.092 -5.069 4.031 2.326 -2.219 -5.727 4.391 4.055 2.723" Properties=species:S:1:pos:R:3 comment="Li3NdPd4O12 | Alexandria via LeMat-Bulk | GGA-PBE | relaxed" m_tot_mub_per_atom=0.105 raw_formation_energy_mev_per_atom=-1005 dft_energy_ev_per_atom=-5.54 n_ef_per_ev_cell=14.452 space_group="No. 204" pbc="T T T"
Li 0.617 -3.644 -0.848
Li 3.358 0.918 -1.502
Li 1.649 -0.507 3.377
O 2.213 -0.692 -1.185
O 4.198 2.054 1.068
O 2.126 0.010 1.503
O 0.929 -2.346 0.643
O 3.457 -0.399 4.228
O 1.427 -5.287 -0.042
O 2.167 -2.834 -3.202
O 4.923 0.049 -2.397
O 0.701 -3.282 3.423
O 4.695 -0.887 0.384
O 3.498 -3.243 -0.477
O 3.411 -2.541 2.211
Pd -0.546 -2.534 2.015
Pd 2.812 -1.616 0.513
Pd 2.195 2.028 1.361
Pd 1.163 -1.109 -2.864
Nd 0.000 0.000 0.000

=====

# 2
5
Lattice="5.080 0.000 0.000 0.000 5.080 0.000 0.000 0.000 5.007" Properties=species:S:1:pos:R:3 comment="NbSnAs2Se | Alexandria via LeMat-Bulk | GGA-PBE | relaxed" m_tot_mub_per_atom=0.000 raw_formation_energy_mev_per_atom=114 dft_energy_ev_per_atom=-5.26 n_ef_per_ev_cell=3.136 space_group="No. 123" pbc="T T T"
Se 0.000 0.000 2.503
Sn 2.540 2.540 2.503
As 2.540 0.000 0.000
As 0.000 2.540 0.000
Nb 0.000 0.000 0.000

=====

What did the first record say?
20
Lattice="-1.092 -5.069 4.031 2.326 -2.219 -5.727 4.391 4.055 2.723" Properties=species:S:1:pos:R:3 comment="Li3NdPd4O12 | Alexandria via LeMat-Bulk | GGA-PBE | relaxed" m_tot_mub_per_atom=0.105 raw_formation_energy_mev_per_atom=-1005 dft_energy_ev_per_atom=-5.54 n_ef_per_ev_cell=14.452 space_group="No. 204" pbc="T T T"
Li 0.617 -3.644 -0.848
Li 3.358 0.918 -1.502
Li 1.649 -0.507 3.377
O 2.213 -0.692 -1.185
O 4.198 2.054 1.068
O 2.126 0.010 1.503
O 0.929 -2.346 0.643
O 3.457 -0.399 4.228
O 1.427 -5.287 -0.042
O 2.167 -2.834 -3.202
O 4.923 0.049 -2.397
O 0.701 -3.282 3.423
O 4.695 -0.887 0.384
O 3.498 -3.243 -0.477
O 3.411 -2.541 2.211
Pd -0.546 -2.534 2.015
Pd 2.812 -1.616 0.513
Pd 2.195 2.028 1.361
Pd 1.163 -1.109 -2.864
Nd 0.000 0.000 0.000